Compound: SrGeTe2N
Source: the Alexandria database
Functional: PBE-GGA
Structure: optimized geometry

Computed properties:
VASP energy, eV per atom: -3.31
E_form (uncorrected), eV per atom: 0.873
Volume, A^3/atom: 36.35

a b c (Å): 6.1883 6.1883 4.7457
angles (deg): 90.00 90.00 90.00
Last column: nearest neighbours and their distance in Å.
Space group P4/mmm (No. 123)
Unique sites:
Sr1 0.0000 0.0000 0.0000 [1 per cell]  2 N 2.37
Ge1 0.5000 0.5000 0.5000 [1 per cell]  8 Te 3.90
Te1 0.0000 0.5000 0.0000 [2 per cell]  2 Sr 3.09
N1 0.0000 0.0000 0.5000 [1 per cell]  2 Sr 2.37